Entry one
Crystalline YScRe at its relaxed geometry. Source: the Alexandria database, functional GGA-PBE.

Computed properties:
total magnetization: 0.006 μB per formula unit
crystal system: cubic
space group: No. 216
V: 72.2 Å³/cell

a b c (Å): 4.674 4.674 4.674
angles (deg): 60.00 60.00 60.00
Sites, in units of the cell vectors:
1 Re 0.000 0.000 0.000
2 Y 0.750 0.750 0.750
3 Sc 0.500 0.500 0.500

Entry two
Crystalline YScRe at its relaxed geometry. Source: the Alexandria database, functional GGA-PBE.

Computed properties:
total magnetization: 0.000 μB per formula unit
crystal system: cubic
space group: No. 216
V: 72.1 Å³/cell

a b c (Å): 4.672 4.672 4.672
angles (deg): 60.00 60.00 60.00
Sites, in units of the cell vectors:
1 Re 0.750 0.750 0.750
2 Sc 0.000 0.000 0.000
3 Y 0.500 0.500 0.500

Entry three
Crystalline YScRe at its relaxed geometry. Source: the Alexandria database, functional GGA-PBE.

Computed properties:
total magnetization: 0.000 μB per formula unit
crystal system: trigonal
space group: No. 156
V: 68.7 Å³/cell

a b c (Å): 3.320 3.320 7.199
angles (deg): 90.00 90.00 120.00
Sites, in units of the cell vectors:
1 Re 0.000 0.000 0.011
2 Sc 0.667 0.333 0.276
3 Y 0.333 0.667 0.714

Which is most stable, and by how much? entry three, by 11 meV/atom.

Entry one
Crystalline ScZnRe3 at its relaxed geometry. Source: the Alexandria database, functional GGA-PBE.

Computed properties:
total magnetization: 0.015 μB per formula unit
crystal system: cubic
space group: No. 221
V: 97.6 Å³/cell

a b c (Å): 4.604 4.604 4.604
angles (deg): 90.00 90.00 90.00
Sites, in units of the cell vectors:
1 Re 0.000 0.000 0.500
2 Zn 0.500 0.500 0.500
3 Re 0.500 0.000 0.000
4 Sc 0.000 0.000 0.000
5 Re 0.000 0.500 0.000

Entry two
Crystalline ScZnRe3 at its relaxed geometry. Source: the Alexandria database, functional GGA-PBE.

Computed properties:
total magnetization: 0.000 μB per formula unit
crystal system: cubic
space group: No. 221
V: 93.1 Å³/cell

a b c (Å): 4.533 4.533 4.533
angles (deg): 90.00 90.00 90.00
Sites, in units of the cell vectors:
1 Sc 0.500 0.500 0.500
2 Re 0.000 0.500 0.000
3 Re 0.500 0.000 0.000
4 Zn 0.000 0.000 0.000
5 Re 0.000 0.000 0.500

Which is most stable, and by how much? entry two, by 884 meV/atom.

Entry one
Crystalline ScZn2Re2 at its relaxed geometry. Source: the Alexandria database, functional GGA-PBE.

Computed properties:
total magnetization: 0.000 μB per formula unit
crystal system: tetragonal
space group: No. 127
V: 154.9 Å³/cell

a b c (Å): 6.723 6.723 3.427
angles (deg): 90.00 90.00 90.00
Sites, in units of the cell vectors:
1 Zn 0.374 0.874 0.000
2 Re 0.172 0.672 0.500
3 Zn 0.874 0.626 0.000
4 Zn 0.126 0.374 0.000
5 Sc 0.000 0.000 0.000
6 Sc 0.500 0.500 0.000
7 Zn 0.626 0.126 0.000
8 Re 0.672 0.828 0.500
9 Re 0.828 0.328 0.500
10 Re 0.328 0.172 0.500

Entry two
Crystalline ScZn2Re2 at its relaxed geometry. Source: the Alexandria database, functional GGA-PBE.

Computed properties:
total magnetization: 0.000 μB per formula unit
crystal system: tetragonal
space group: No. 139
V: 83.2 Å³/cell

a b c (Å): 3.704 3.704 6.605
angles (deg): 73.72 73.72 90.00
Sites, in units of the cell vectors:
1 Re 0.750 0.250 0.500
2 Zn 0.596 0.596 0.807
3 Sc 0.000 0.000 0.000
4 Re 0.250 0.750 0.500
5 Zn 0.404 0.404 0.193

Which is most stable, and by how much? entry two, by 175 meV/atom.

Entry one
Crystalline ZrScRe at its relaxed geometry. Source: the Alexandria database, functional GGA-PBE.

Computed properties:
total magnetization: 0.000 μB per formula unit
crystal system: tetragonal
space group: No. 107
V: 61.3 Å³/cell

a b c (Å): 5.982 5.982 5.982
angles (deg): 147.60 147.60 46.48
Sites, in units of the cell vectors:
1 Re 0.004 0.004 0.000
2 Sc 0.359 0.359 0.000
3 Zr 0.637 0.637 0.000

Entry two
Crystalline ZrScRe at its relaxed geometry. Source: the Alexandria database, functional GGA-PBE.

Computed properties:
total magnetization: 0.000 μB per formula unit
crystal system: orthorhombic
space group: No. 44
V: 56.8 Å³/cell

a b c (Å): 5.023 5.023 5.023
angles (deg): 147.31 122.88 67.39
Sites, in units of the cell vectors:
1 Sc 0.334 0.334 0.000
2 Zr 0.667 0.667 0.000
3 Re 0.999 0.999 0.000

Which is most stable, and by how much? entry one, by 197 meV/atom.

Entry one
Crystalline ZrScRe at its relaxed geometry. Source: the Alexandria database, functional GGA-PBE.

Computed properties:
total magnetization: 0.000 μB per formula unit
crystal system: trigonal
space group: No. 156
V: 56.8 Å³/cell

a b c (Å): 4.677 4.677 2.996
angles (deg): 90.00 90.00 120.00
Sites, in units of the cell vectors:
1 Re 0.000 0.000 0.998
2 Sc 0.667 0.333 0.289
3 Zr 0.333 0.667 0.713

Entry two
Crystalline ZrScRe at its relaxed geometry. Source: the Alexandria database, functional GGA-PBE.

Computed properties:
total magnetization: 0.000 μB per formula unit
crystal system: trigonal
space group: No. 156
V: 61.2 Å³/cell

a b c (Å): 3.197 3.197 6.918
angles (deg): 90.00 90.00 120.00
Sites, in units of the cell vectors:
1 Sc 0.333 0.667 0.294
2 Zr 0.667 0.333 0.708
3 Re 0.000 0.000 0.998

Which is most stable, and by how much? entry one, by 227 meV/atom.

Entry one
Crystalline ZrScRe at its relaxed geometry. Source: the Alexandria database, functional GGA-PBE.

Computed properties:
total magnetization: 0.000 μB per formula unit
crystal system: orthorhombic
space group: No. 42
V: 59.1 Å³/cell

a b c (Å): 7.525 7.287 3.007
angles (deg): 82.77 73.88 23.35
Sites, in units of the cell vectors:
1 Zr 0.650 0.650 0.350
2 Re 0.000 0.000 0.000
3 Sc 0.350 0.350 0.650

Entry two
Crystalline ZrScRe at its relaxed geometry. Source: the Alexandria database, functional GGA-PBE.

Computed properties:
total magnetization: 0.000 μB per formula unit
crystal system: cubic
space group: No. 216
V: 66.2 Å³/cell

a b c (Å): 4.541 4.541 4.541
angles (deg): 60.00 60.00 60.00
Sites, in units of the cell vectors:
1 Sc 0.000 0.000 0.000
2 Re 0.750 0.750 0.750
3 Zr 0.500 0.500 0.500

Entry three
Crystalline ZrScRe at its relaxed geometry. Source: the Alexandria database, functional GGA-PBE.

Computed properties:
total magnetization: 0.000 μB per formula unit
crystal system: orthorhombic
space group: No. 70
V: 249.8 Å³/cell

a b c (Å): 5.244 5.614 9.951
angles (deg): 82.93 74.72 62.16
Sites, in units of the cell vectors:
1 Zr 0.586 0.000 0.827
2 Re 0.625 0.500 0.750
3 Sc 0.910 0.181 0.500
4 Sc 0.840 0.319 0.000
5 Re 0.875 0.500 0.250
6 Zr 0.414 0.000 0.173
7 Sc 0.160 0.681 0.000
8 Zr 0.164 0.500 0.673
9 Zr 0.336 0.500 0.327
10 Sc 0.590 0.819 0.500
11 Re 0.875 0.000 0.250
12 Re 0.125 0.000 0.750

Which is most stable, and by how much? entry three, by 138 meV/atom.